DFT (PBE) results for a relaxed structure of HfCoRe2Ir.

```
HfCoRe2Ir
1.0
-3.916 0.301 2.550
-2.329 -1.339 -3.420
0.548 -4.445 1.367
Hf Ir Re Co
1 1 2 1
Cartesian
0.000 0.000 0.000
-2.849 -2.741 0.248
0.274 -2.223 0.683
-1.958 0.151 1.275
-1.165 -0.669 -1.710
```

## Properties
DFT total energy: -0.5714 Ry per atom
magnetization: 1.820 Bohr magnetons per cell
calculated volume: 95 Å³/cell
DFT formation energy: 2.39 eV per atom

DFT (PBE) results for a relaxed structure of MnBrCl.

```
MnBrCl
1.0
-2.660 0.037 3.815
-3.084 -3.406 0.717
0.725 -3.121 3.371
Br Cl Mn
1 1 1
Cartesian
0.000 0.000 0.000
-2.509 -3.245 3.951
-3.764 -4.868 5.927
```

## Properties
raw formation energy: -0.60 eV/atom
DFT total energy: -0.3547 Ry per atom
magnetization: 5.000 Bohr magnetons per cell
calculated volume: 71 Å³/cell
offset from the most stable computed form: 336.5 meV/atom

DFT (PBE) results for a relaxed structure of TeP2C.

```
TeP2C
1.0
-1.913 -3.769 1.521
-3.090 -2.111 -2.485
0.972 -3.944 -1.918
Te C P
1 1 2
Cartesian
-2.016 -4.912 -1.441
0.000 0.000 0.000
-1.008 -2.456 -0.721
-3.024 -7.368 -2.162
```

## Properties
raw formation energy: 1.88 eV/atom
DFT total energy: -0.2881 Ry per atom
magnetization: 0.000 Bohr magnetons per cell
calculated volume: 64 Å³/cell
offset from the most stable computed form: 1055.0 meV/atom

DFT (PBE) results for a relaxed structure of Ti2SbF.

```
Ti2SbF
1.0
-1.619 -3.050 2.999
-3.648 1.026 2.562
-4.000 -2.075 -0.782
Ti Sb F
2 1 1
Cartesian
-2.317 -1.025 1.195
-6.950 -3.074 3.584
-4.633 -2.050 2.390
0.000 0.000 0.000
```

## Properties
raw formation energy: -0.76 eV/atom
DFT total energy: -0.4561 Ry per atom
magnetization: 0.000 Bohr magnetons per cell
calculated volume: 68 Å³/cell
offset from the most stable computed form: 0.0 meV/atom

> calculated volume of number 4 (Ti2SbF)?

68 Å³/cell

> Which formula does entry 3 have?

TeP2C

> Look up the magnetization of the first one.

1.820 Bohr magnetons per cell